Entry 1:
A plane-wave DFT calculation with PBE was carried out for a relaxed structure of ThPRh3.

Calculated values
energy = -7.98 eV/atom
DOS(E_F) = 5.1 states/eV per cell
ΔH_f (0 K) = -1.00 eV per atom

Cell lengths 4.079, 4.079, 10.454 Å; angles 90.00, 90.00, 90.00 degrees
Space group I4mm (No. 107)
Symmetry-distinct sites (fractional):
Th 0.000 0.000 0.000 (multiplicity 2)
P 0.000 0.000 0.639 (multiplicity 2)
Rh 0.000 0.000 0.424 (multiplicity 2)
Rh 0.000 0.500 0.244 (multiplicity 4)

Entry 2:
A plane-wave DFT calculation with PBE was carried out for a relaxed structure of ThP2Rh7.

Calculated values
energy = -7.67 eV/atom
DOS(E_F) = 9.5 states/eV per cell
ΔH_f (0 K) = -0.70 eV per atom

Cell lengths 3.991, 3.991, 19.666 Å; angles 90.00, 90.00, 90.00 degrees
Space group I4/mmm (No. 139)
Symmetry-distinct sites (fractional):
Th 0.000 0.000 0.000 (multiplicity 2)
P 0.000 0.000 0.322 (multiplicity 4)
Rh 0.000 0.000 0.500 (multiplicity 2)
Rh 0.000 0.500 0.111 (multiplicity 8)
Rh 0.000 0.500 0.250 (multiplicity 4)

Entry 3:
A plane-wave DFT calculation with PBE was carried out for a relaxed structure of Th3P4Rh7.

Calculated values
energy = -7.89 eV/atom
DOS(E_F) = 16.9 states/eV per cell
ΔH_f (0 K) = -1.08 eV per atom

Cell lengths 15.484, 4.027, 9.477 Å; angles 90.00, 126.27, 90.00 degrees
Space group C2/m (No. 12)
Symmetry-distinct sites (fractional):
Th 0.000 0.000 0.000 (multiplicity 2)
Th 0.174 0.500 0.672 (multiplicity 4)
P 0.107 0.000 0.827 (multiplicity 4)
P 0.162 0.500 0.272 (multiplicity 4)
Rh 0.000 0.000 0.500 (multiplicity 2)
Rh 0.006 0.500 0.273 (multiplicity 4)
Rh 0.171 0.000 0.424 (multiplicity 4)
Rh 0.200 0.500 0.046 (multiplicity 4)